(1)
VASP calculation (PBE) on crystalline ThZrSn2 at its relaxed geometry.

The space group is P4/mmm (No. 123) and the conventional cell measures 4.812, 4.812 and 4.477 Å, with angles of 90.00, 90.00 and 90.00 degrees. Symmetry generates all atoms from Th at (0.000, 0.000, 0.000), Zr at (0.500, 0.500, 0.000) and Sn at (0.000, 0.500, 0.500).

Its crystal system is tetragonal. The value obtained for the polymorph energy (0 for the lowest one) is 58 meV per atom.


(2)
VASP calculation (PBE) on crystalline EuMgGe at its relaxed geometry.

The space group is P-6m2 (No. 187) and the conventional cell measures 4.6089, 4.6089 and 4.1831 Å, with angles of 90.00, 90.00 and 120.00 degrees. Symmetry generates all atoms from Eu at (0.0000, 0.0000, 0.0000), Mg at (0.6667, 0.3333, 0.5000) and Ge at (0.3333, 0.6667, 0.5000).

Its crystal system is hexagonal. The total DFT energy (no corrections) is -17.79 eV/cell.


(3)
VASP calculation (PBE) on crystalline RbSiAu3 at its relaxed geometry.

The space group is C2/c (No. 15) and the conventional cell measures 14.225, 9.521 and 6.820 Å, with angles of 90.00, 103.82 and 90.00 degrees. Symmetry generates all atoms from Rb at (0.000, 0.004, 0.250), Rb at (0.000, 0.338, 0.250), Si at (0.099, 0.335, 0.818), Au at (0.180, 0.147, 0.061), Au at (0.181, 0.477, 0.589) and Au at (0.192, 0.166, 0.622).

Its formation energy without anion corrections is -0.06 eV per atom. Its crystal system is monoclinic. The value obtained for the polymorph energy (0 for the lowest one) is 218 meV per atom.


(4)
VASP calculation (PBE) on crystalline MgTiO at its relaxed geometry.

The space group is R3m (No. 160, hexagonal axes) and the conventional cell measures 2.9221, 2.9221 and 15.5576 Å, with angles of 90.00, 90.00 and 120.00 degrees. Symmetry generates all atoms from Mg at (0.0000, 0.0000, 0.0000), Ti at (0.0000, 0.0000, 0.4959) and O at (0.0000, 0.0000, 0.2535).

Its formation energy without anion corrections is -1.57 eV per atom. Its crystal system is trigonal. The value obtained for the polymorph energy (0 for the lowest one) is 8 meV per atom.


(5)
VASP calculation (PBE) on crystalline PrRu2O6 at its relaxed geometry.

The space group is P-31m (No. 162) and the conventional cell measures 5.2717, 5.2717 and 5.1221 Å, with angles of 90.00, 90.00 and 120.00 degrees. Symmetry generates all atoms from Pr at (0.0000, 0.0000, 0.0000), Ru at (0.3333, 0.6667, 0.5000) and O at (0.0000, 0.3623, 0.7094).

Its formation energy without anion corrections is -1.58 eV per atom. Its crystal system is trigonal.


(6)
VASP calculation (PBE) on crystalline Co3SiPb at its relaxed geometry.

The space group is Pm-3m (No. 221) and the conventional cell measures 4.768, 4.768 and 4.768 Å, with angles of 90.00, 90.00 and 90.00 degrees. Symmetry generates all atoms from Co at (0.000, 0.000, 0.500), Si at (0.500, 0.500, 0.500) and Pb at (0.000, 0.000, 0.000).

Its formation energy without anion corrections is 1.81 eV per atom. Its crystal system is cubic. The value obtained for the polymorph energy (0 for the lowest one) is 1355 meV per atom.


(7)
VASP calculation (PBE) on crystalline DyGa2IrRh at its relaxed geometry.

The space group is I-4m2 (No. 119) and the conventional cell measures 4.245, 4.245 and 10.004 Å, with angles of 90.00, 90.00 and 90.00 degrees. Symmetry generates all atoms from Dy at (0.000, 0.000, 0.000), Ga at (0.000, 0.000, 0.376), Ir at (0.000, 0.500, 0.750) and Rh at (0.000, 0.500, 0.250).

Its crystal system is tetragonal. The total DFT energy (no corrections) is -61.26 eV/cell.


(8)
VASP calculation (PBE) on crystalline VBIr at its relaxed geometry.

The space group is I4mm (No. 107) and the conventional cell measures 2.698, 2.698 and 9.312 Å, with angles of 90.00, 90.00 and 90.00 degrees. Symmetry generates all atoms from V at (0.000, 0.000, 0.000), B at (0.000, 0.000, 0.658) and Ir at (0.000, 0.000, 0.283).

Its crystal system is tetragonal. The value obtained for the polymorph energy (0 for the lowest one) is 0 meV per atom.


(9)
VASP calculation (PBE) on crystalline SrSm3Bi3 at its relaxed geometry.

The space group is R-3 (No. 148, hexagonal axes) and the conventional cell measures 9.5663, 9.5663 and 19.1542 Å, with angles of 90.00, 90.00 and 120.00 degrees. Symmetry generates all atoms from Sr at (0.0000, 0.0000, 0.1663), Sm at (0.0031, 0.2643, 0.5853) and Bi at (0.0040, 0.3795, 0.4171).

Its crystal system is trigonal. The total DFT energy (no corrections) is -194.33 eV/cell.


(10)
VASP calculation (PBE) on crystalline Zn3C at its relaxed geometry.

The space group is P-6m2 (No. 187) and the conventional cell measures 3.0339, 3.0339 and 6.8967 Å, with angles of 90.00, 90.00 and 120.00 degrees. Symmetry generates all atoms from Zn at (0.0000, 0.0000, 0.0000), Zn at (0.6667, 0.3333, 0.3168) and C at (0.0000, 0.0000, 0.5000).

Its crystal system is hexagonal. The total DFT energy (no corrections) is -9.58 eV/cell.


(11)
VASP calculation (PBE) on crystalline CdMoOs2 at its relaxed geometry.

The space group is Cm (No. 8) and the conventional cell measures 9.590, 2.807 and 4.869 Å, with angles of 90.00, 101.24 and 90.00 degrees. Symmetry generates all atoms from Cd at (0.000, 0.000, 0.000), Mo at (0.269, 0.500, 0.294), Os at (0.018, 0.500, 0.504) and Os at (0.239, 0.000, 0.751).

Its crystal system is monoclinic. The total DFT energy (no corrections) is -64.69 eV/cell.


(12)
VASP calculation (PBE) on crystalline NdDy7Sc3 at its relaxed geometry.

The space group is P3m1 (No. 156) and the conventional cell measures 6.9712, 6.9712 and 8.2540 Å, with angles of 90.00, 90.00 and 120.00 degrees. Symmetry generates all atoms from Nd at (0.0000, 0.0000, 0.0000), Dy at (0.0025, 0.5012, 0.0143), Dy at (0.3314, 0.1657, 0.6574), Dy at (0.3333, 0.6667, 0.6698) and Sc at (0.1679, 0.3357, 0.3375).

Its crystal system is trigonal. The total DFT energy (no corrections) is -53.51 eV/cell.


Values for volume, Å³ per atom, ordered as above
25.9, 25.7, 22.4, 12.8, 13.7, 21.7, 18.0, 11.3, 36.1, 13.7, 16.1, 31.6